(1)
The following is a DFT calculation (PBE) of crystalline Ir3Se at its relaxed geometry.

a b c (Å): 2.836 2.836 7.610
angles (deg): 90.00 90.00 90.00
Element x y z (fractional)
Ir 0.000 0.000 0.006
Ir 0.500 0.500 0.250
Ir 0.000 0.000 0.494
Se 0.500 0.500 0.750

Space group   P4/mmm
DFT total energy   -0.26189 hartree per atom
Crystal system   tetragonal

(2)
The following is a DFT calculation (PBE) of crystalline Sm2Dy7Mg2 at its relaxed geometry.

a b c (Å): 6.524 8.503 6.524
angles (deg): 77.65 83.59 102.35
Element x y z (fractional)
Sm 0.682 0.000 0.682
Sm 0.318 0.000 0.318
Dy 0.883 0.677 0.476
Dy 0.524 0.677 0.117
Dy 0.144 0.916 0.856
Dy 0.000 0.500 0.000
Dy 0.856 0.084 0.144
Dy 0.117 0.323 0.524
Dy 0.476 0.323 0.883
Mg 0.384 0.665 0.616
Mg 0.616 0.335 0.384

Space group   C2/m
ΔE_f   0.07 eV/atom
Crystal system   monoclinic

(3)
The following is a DFT calculation (PBE) of crystalline ZrAgBr at its relaxed geometry.

a b c (Å): 3.365 3.365 7.484
angles (deg): 90.00 90.00 120.00
Element x y z (fractional)
Br 0.667 0.333 0.392
Zr 0.333 0.667 0.654
Ag 0.000 0.000 0.954

Space group   P3m1
DFT total energy   -0.17479 hartree per atom
Crystal system   trigonal

(4)
The following is a DFT calculation (PBE) of crystalline Li3GeSe at its relaxed geometry.

a b c (Å): 4.749 4.749 4.749
angles (deg): 90.00 90.00 90.00
Element x y z (fractional)
Ge 0.500 0.500 0.500
Se 0.000 0.000 0.000
Li 0.000 0.500 0.000
Li 0.000 0.000 0.500
Li 0.500 0.000 0.000

Space group   Pm-3m
DFT total energy   -0.11413 hartree per atom
Crystal system   cubic

(5)
The following is a DFT calculation (PBE) of crystalline LaHoPb at its relaxed geometry.

a b c (Å): 4.241 5.212 5.212
angles (deg): 120.00 90.00 90.00
Element x y z (fractional)
Pb 0.169 0.000 0.000
Ho 0.165 0.667 0.333
La 0.666 0.333 0.667

Space group   P3m1
ΔE_f   -0.28 eV/atom
Crystal system   trigonal

(6)
The following is a DFT calculation (PBE) of crystalline U2NbB6 at its relaxed geometry.

a b c (Å): 2.947 6.166 6.166
angles (deg): 81.42 76.17 76.17
Element x y z (fractional)
U 0.362 0.138 0.138
U 0.638 0.862 0.862
Nb 0.500 0.500 0.500
B 0.193 0.548 0.066
B 0.807 0.452 0.934
B 0.807 0.934 0.452
B 0.000 0.240 0.760
B 0.000 0.760 0.240
B 0.193 0.066 0.548

Space group   Immm
ΔE_f   0.06 eV/atom
Crystal system   orthorhombic

(7)
The following is a DFT calculation (PBE) of crystalline Y4Zn2Pt at its relaxed geometry.

a b c (Å): 6.091 6.091 6.091
angles (deg): 109.81 109.30 109.30
Element x y z (fractional)
Y 0.500 0.000 0.000
Y 0.500 0.500 0.500
Y 0.000 0.000 0.500
Y 0.000 0.500 0.000
Zn 0.500 0.500 0.000
Zn 0.500 0.000 0.500
Pt 0.000 0.000 0.000

Space group   I4/mmm
ΔE_f   -0.50 eV/atom
Crystal system   tetragonal

(8)
The following is a DFT calculation (PBE) of crystalline PmHgS at its relaxed geometry.

a b c (Å): 4.250 4.250 11.968
angles (deg): 90.00 90.00 120.00
Element x y z (fractional)
Pm 0.000 0.000 0.746
Pm 0.000 0.000 0.254
Hg 0.333 0.667 0.931
Hg 0.667 0.333 0.069
S 0.667 0.333 0.652
S 0.333 0.667 0.348

Space group   P-3m1
DFT total energy   -0.15323 hartree per atom
Crystal system   trigonal

(9)
The following is a DFT calculation (PBE) of crystalline SiSnSb3 at its relaxed geometry.

a b c (Å): 5.598 5.598 5.598
angles (deg): 90.00 90.00 90.00
Element x y z (fractional)
Sb 0.000 0.500 0.000
Sb 0.000 0.000 0.500
Sb 0.500 0.000 0.000
Si 0.500 0.500 0.500
Sn 0.000 0.000 0.000

Space group   Pm-3m
DFT total energy   -0.11754 hartree per atom
Crystal system   cubic

(10)
The following is a DFT calculation (PBE) of crystalline SmHoO3 at its relaxed geometry.

a b c (Å): 5.754 6.010 8.502
angles (deg): 90.00 90.00 90.00
Element x y z (fractional)
Sm 0.979 0.053 0.250
Sm 0.479 0.447 0.750
Sm 0.521 0.553 0.250
Sm 0.021 0.947 0.750
Ho 0.500 0.000 0.000
Ho 0.500 0.000 0.500
Ho 0.000 0.500 0.000
Ho 0.000 0.500 0.500
O 0.643 0.071 0.750
O 0.190 0.193 0.577
O 0.190 0.193 0.923
O 0.690 0.307 0.423
O 0.690 0.307 0.077
O 0.143 0.429 0.250
O 0.857 0.571 0.750
O 0.310 0.693 0.577
O 0.310 0.693 0.923
O 0.810 0.807 0.077
O 0.810 0.807 0.423
O 0.357 0.929 0.250

Space group   Pnma
DFT total energy   -0.30493 hartree per atom
Crystal system   orthorhombic

(11)
The following is a DFT calculation (PBE) of crystalline PuInH at its relaxed geometry.

a b c (Å): 3.001 6.978 5.679
angles (deg): 55.89 92.11 94.41
Element x y z (fractional)
H 0.036 0.636 0.523
H 0.964 0.364 0.477
In 0.992 0.304 0.919
In 0.008 0.696 0.081
Pu 0.574 0.854 0.481
Pu 0.426 0.146 0.519

Space group   P-1
DFT total energy   -0.24197 hartree per atom
Crystal system   triclinic

(12)
The following is a DFT calculation (PBE) of crystalline La9Pr4Y at its relaxed geometry.

a b c (Å): 11.709 10.115 10.115
angles (deg): 120.00 90.00 90.00
Element x y z (fractional)
La 0.030 0.793 0.586
La 0.030 0.793 0.207
La 0.030 0.414 0.207
La 0.970 0.207 0.414
La 0.970 0.207 0.793
La 0.970 0.586 0.793
La 0.530 0.207 0.414
La 0.530 0.207 0.793
La 0.530 0.586 0.793
La 0.470 0.793 0.586
La 0.470 0.793 0.207
La 0.470 0.414 0.207
La 0.250 0.460 0.919
La 0.250 0.460 0.540
La 0.250 0.081 0.540
La 0.750 0.540 0.081
La 0.750 0.540 0.460
La 0.750 0.919 0.460
Pr 0.250 0.115 0.229
Pr 0.250 0.115 0.885
Pr 0.250 0.771 0.885
Pr 0.750 0.885 0.771
Pr 0.750 0.885 0.115
Pr 0.750 0.229 0.115
Pr 0.000 0.000 0.000
Pr 0.500 0.000 0.000
Y 0.250 0.667 0.333
Y 0.750 0.333 0.667

Space group   P6_3/mmc
ΔE_f   0.14 eV/atom
Crystal system   hexagonal

| no. | V (Å³/cell) | M_tot (μB per formula unit) |
| --- | --- | --- |
| 1 | 61 | 0.00 |
| 2 | 341 | 0.00 |
| 3 | 73 | 0.00 |
| 4 | 107 | 0.00 |
| 5 | 100 | 0.00 |
| 6 | 105 | 0.00 |
| 7 | 174 | 0.00 |
| 8 | 187 | 0.00 |
| 9 | 175 | 0.00 |
| 10 | 294 | 0.00 |
| 11 | 98 | 0.00 |
| 12 | 1037 | 0.00 |